Record 1
First-principles (GGA-PBEsol) data for a relaxed MgSc2Se4 crystal, as listed in Alexandria.

Cell: 7.8488 7.8488 7.8488 Å, 60.00 60.00 60.00°
Element x y z (fractional)
1 Mg 0.7500 0.7500 0.7500
2 Mg 0.5000 0.5000 0.5000
3 Sc 0.1250 0.1250 0.1250
4 Sc 0.1250 0.1250 0.6250
5 Sc 0.1250 0.6250 0.1250
6 Sc 0.6250 0.1250 0.1250
7 Se 0.8829 0.8829 0.8829
8 Se 0.8829 0.8829 0.3514
9 Se 0.8829 0.3514 0.8829
10 Se 0.3514 0.8829 0.8829
11 Se 0.3671 0.3671 0.3671
12 Se 0.3671 0.3671 0.8986
13 Se 0.3671 0.8986 0.3671
14 Se 0.8986 0.3671 0.3671

**Calculated volume**: 24.4 Å³ per atom
**Calculated density**: 4.2 g/cm³
**Calculated total energy**: -5.902 eV/atom

Record 2
First-principles (GGA-PBEsol) data for a relaxed KMg3 crystal, as listed in Alexandria.

Cell: 3.2283 4.5011 9.0176 Å, 90.00 68.57 90.00°
Element x y z (fractional)
1 K 0.0000 0.0000 0.0000
2 Mg 0.8151 0.5000 0.6839
3 Mg 0.5000 0.0000 0.5000
4 Mg 0.1849 0.5000 0.3161

**Calculated volume**: 30.5 Å³ per atom
**Calculated density**: 1.5 g/cm³
**Calculated total energy**: -1.416 eV/atom
**Energy relative to the elements**: 0.15 eV per atom

Record 3
First-principles (GGA-PBEsol) data for a relaxed CeGa6 crystal, as listed in Alexandria.

Cell: 5.8810 5.8810 7.5911 Å, 90.00 90.00 90.00°
Each line ends with the local moment (μB).
Element x y z (fractional)
1 Ce 0.0000 0.5000 0.0000  0.59
2 Ce 0.5000 0.0000 0.0000  0.59
3 Ga 0.6830 0.8170 0.3520  0.00
4 Ga 0.3170 0.1830 0.3520  0.00
5 Ga 0.0000 0.0000 0.1611  0.00
6 Ga 0.0000 0.0000 0.8389  0.00
7 Ga 0.5000 0.5000 0.8389  0.00
8 Ga 0.5000 0.5000 0.1611  0.00
9 Ga 0.1830 0.3170 0.6480  0.00
10 Ga 0.6830 0.1830 0.6480  0.00
11 Ga 0.3170 0.8170 0.6480  0.00
12 Ga 0.1830 0.6830 0.3520  0.00
13 Ga 0.8170 0.3170 0.3520  0.00
14 Ga 0.8170 0.6830 0.6480  0.00

**Calculated volume**: 18.8 Å³ per atom
**Calculated density**: 7.1 g/cm³
**Calculated total energy**: -4.148 eV/atom
**Energy relative to the elements**: -0.34 eV per atom

Record 4
First-principles (GGA-PBEsol) data for a relaxed IrRuRh2 crystal, as listed in Alexandria.

Cell: 2.6703 3.7977 5.3471 Å, 90.00 90.00 90.00°
Element x y z (fractional)
1 Ru 0.5000 0.5000 0.0000
2 Ir 0.5000 0.5000 0.5000
3 Rh 0.0000 0.0000 0.7528
4 Rh 0.0000 0.0000 0.2472

**Calculated volume**: 13.6 Å³ per atom
**Calculated density**: 15.3 g/cm³
**Calculated total energy**: -9.057 eV/atom
**Energy relative to the elements**: 0.01 eV per atom

Record 5
First-principles (GGA-PBEsol) data for a relaxed Ag8Pt crystal, as listed in Alexandria.

Cell: 4.0080 6.3700 6.3700 Å, 84.32 71.66 71.66°
Element x y z (fractional)
1 Ag 0.0000 0.6681 0.3319
2 Ag 0.0000 0.3319 0.6681
3 Ag 0.3319 0.6681 0.6681
4 Ag 0.3347 0.3307 0.0000
5 Ag 0.3347 0.0000 0.3307
6 Ag 0.6681 0.3319 0.3319
7 Ag 0.6653 0.0000 0.6693
8 Ag 0.6653 0.6693 0.0000
9 Pt 0.0000 0.0000 0.0000

**Calculated volume**: 16.3 Å³ per atom
**Calculated density**: 12.0 g/cm³
**Calculated total energy**: -3.718 eV/atom
**Energy relative to the elements**: 0.00 eV per atom

Record 6
First-principles (GGA-PBEsol) data for a relaxed KTeAs2 crystal, as listed in Alexandria.

Cell: 3.0538 5.7377 6.3489 Å, 116.85 103.89 90.05°
Element x y z (fractional)
1 As 0.0000 0.0000 0.5000
2 As 0.5000 0.5000 0.5000
3 K 0.0000 0.0000 0.0000
4 Te 0.5000 0.5000 0.0000

**Calculated volume**: 23.9 Å³ per atom
**Calculated density**: 5.5 g/cm³
**Calculated total energy**: -3.606 eV/atom

Record 7
First-principles (GGA-PBEsol) data for a relaxed Mg2CuAs crystal, as listed in Alexandria.

Cell: 3.1035 3.6497 5.9036 Å, 90.00 90.00 90.00°
Element x y z (fractional)
1 As 0.5000 0.5000 0.0000
2 Cu 0.5000 0.5000 0.5000
3 Mg 0.0000 0.0000 0.7411
4 Mg 0.0000 0.0000 0.2589

**Calculated volume**: 16.7 Å³ per atom
**Calculated density**: 4.6 g/cm³
**Calculated total energy**: -3.381 eV/atom
**Energy relative to the elements**: -0.16 eV per atom

Record 8
First-principles (GGA-PBEsol) data for a relaxed ZrPIrS2 crystal, as listed in Alexandria.

Cell: 4.4482 4.6107 4.6107 Å, 90.00 90.00 90.00°
Element x y z (fractional)
1 P 0.5000 0.0000 0.0000
2 S 0.0000 0.0000 0.5000
3 S 0.0000 0.5000 0.0000
4 Ir 0.0000 0.0000 0.0000
5 Zr 0.5000 0.5000 0.5000

**Calculated volume**: 18.9 Å³ per atom
**Calculated density**: 6.6 g/cm³
**Calculated total energy**: -6.526 eV/atom

Record 9
First-principles (GGA-PBEsol) data for a relaxed FeRu2Cl crystal, as listed in Alexandria.

Cell: 4.1764 4.1764 4.1764 Å, 60.00 60.00 60.00°
Each line ends with the local moment (μB).
Element x y z (fractional)
1 Cl 0.5000 0.5000 0.5000  -0.07
2 Fe 0.0000 0.0000 0.0000  2.05
3 Ru 0.7500 0.7500 0.7500  0.01
4 Ru 0.2500 0.2500 0.2500  0.01

**Calculated volume**: 12.9 Å³ per atom
**Calculated density**: 9.5 g/cm³
**Calculated total energy**: -6.965 eV/atom

Record 10
First-principles (GGA-PBEsol) data for a relaxed LiAl2InAg crystal, as listed in Alexandria.

Cell: 4.8297 4.8297 5.3707 Å, 90.00 90.00 90.00°
Element x y z (fractional)
1 Li 0.5000 0.5000 0.5000
2 Al 0.0000 0.5000 0.0000
3 Al 0.5000 0.0000 0.0000
4 Ag 0.0000 0.0000 0.0000
5 In 0.0000 0.0000 0.5000

**Calculated volume**: 25.1 Å³ per atom
**Calculated density**: 3.8 g/cm³
**Calculated total energy**: -2.913 eV/atom
**Energy relative to the elements**: 0.38 eV per atom

Record 11
First-principles (GGA-PBEsol) data for a relaxed CuSb2P crystal, as listed in Alexandria.

Cell: 4.7734 4.7693 4.7693 Å, 105.31 111.59 111.59°
Element x y z (fractional)
1 Cu 0.5000 0.0000 0.0000
2 P 0.5000 0.5000 0.5000
3 Sb 0.0000 0.5000 0.0000
4 Sb 0.0000 0.0000 0.5000

**Calculated volume**: 20.8 Å³ per atom
**Calculated density**: 6.7 g/cm³
**Calculated total energy**: -4.552 eV/atom

Record 12
First-principles (GGA-PBEsol) data for a relaxed SrTaAu2 crystal, as listed in Alexandria.

Cell: 3.3109 3.3109 7.6283 Å, 90.00 90.00 90.00°
Element x y z (fractional)
1 Au 0.0000 0.0000 0.7034
2 Au 0.0000 0.0000 0.2966
3 Sr 0.5000 0.5000 0.0000
4 Ta 0.5000 0.5000 0.5000

**Calculated volume**: 20.9 Å³ per atom
**Calculated density**: 13.2 g/cm³
**Calculated total energy**: -5.680 eV/atom
**Energy relative to the elements**: -0.12 eV per atom